Record 1
# Ca4GaSi3 | Alexandria | GGA-PBEsol | relaxed
data_Ca4GaSi3
_chemical_formula_sum 'Ca4 Ga1 Si3'
_cell_length_a 3.968
_cell_length_b 4.440
_cell_length_c 10.759
_cell_angle_alpha 90.00
_cell_angle_beta 90.00
_cell_angle_gamma 90.00
_space_group_name_H-M_alt 'P m m 2'
_space_group_IT_number 25
_space_group_name_Hall 'P 2 -2'
loop_
_atom_site_label
_atom_site_fract_x
_atom_site_fract_y
_atom_site_fract_z
_atom_site_occupancy
Ca1 0.000 0.000 0.000 1
Ca2 0.000 0.500 0.495 1
Ca3 0.500 0.000 0.276 1
Ca4 0.500 0.500 0.777 1
Ga1 0.000 0.000 0.706 1
Si1 0.000 0.500 0.204 1
Si2 0.500 0.000 0.565 1
Si3 0.500 0.500 0.070 1
# - E_tot: -33.651 eV for the cell shown
# - E_form (uncorrected): -54.7 kJ/mol of atoms

---

Record 2
# Ca2Ga2Sn | Alexandria | GGA-PBEsol | relaxed
data_Ca2Ga2Sn
_chemical_formula_sum 'Ca4 Ga4 Sn2'
_cell_length_a 7.200
_cell_length_b 7.200
_cell_length_c 4.613
_cell_angle_alpha 90.00
_cell_angle_beta 90.00
_cell_angle_gamma 90.00
_space_group_name_H-M_alt 'P 4/m b m'
_space_group_IT_number 127
_space_group_name_Hall '-P 4 2ab'
loop_
_atom_site_label
_atom_site_fract_x
_atom_site_fract_y
_atom_site_fract_z
_atom_site_occupancy
Ca1 0.176 0.324 0.000 1
Ga1 0.123 0.623 0.500 1
Sn1 0.000 0.000 0.500 1
# - E_tot: -35.683 eV for the cell shown
# - Energy of formation from the pure elements: -0.527 eV/atom